Computed, not measured: a geometry-optimized RbCoAuF6 structure at the GGA+U level of DFT.

- E_tot: -4.01 eV/atom
- SG: Imma (74)
- DOS(E_F): 0.29 states/eV/atom

Geometry as POSCAR:
```
RbCoAuF6
1.0
-3.672 3.775 5.085
3.672 -3.775 5.085
3.672 3.775 -5.085
Rb Co Au F
2 2 2 12
Cartesian
0.000 1.888 0.954 Rb
3.672 1.888 4.131 Rb
1.836 1.888 -2.543 Co
1.836 -1.888 2.543 Co
3.672 0.000 0.000 Au
0.000 0.000 5.085 Au
1.592 -0.578 1.255 F
5.753 -0.578 1.255 F
3.672 1.888 -2.030 F
1.592 3.197 -1.255 F
2.081 -0.578 3.831 F
3.672 1.888 0.935 F
0.000 1.888 4.151 F
1.592 4.353 1.255 F
2.081 0.578 6.340 F
0.000 1.888 7.116 F
-2.081 4.353 3.831 F
2.081 4.353 3.831 F
```